Density functional theory data (GGA-PBE) for a relaxed structure of BaTi3Au.

Cell lengths 4.929, 4.929, 4.929 Å; angles 90.00, 90.00, 90.00 degrees
Atoms (fractional coordinates):
Ba  0.000  0.000  0.000
Ti  0.000  0.000  0.500
Ti  0.000  0.500  0.000
Ti  0.500  0.000  0.000
Au  0.500  0.500  0.500

Computed properties:
Formation enthalpy at 0 K = 1.75 eV/atom
Crystal system = cubic
Fermi-level density of states = 6.91 states/eV per cell

=====

Density functional theory data (GGA-PBE) for a relaxed structure of BaTiAu2.

Cell lengths 5.223, 5.223, 5.223 Å; angles 60.00, 60.00, 60.00 degrees
Atoms (fractional coordinates):
Ba  0.000  0.000  0.000
Ti  0.500  0.500  0.500
Au  0.250  0.250  0.250
Au  0.750  0.750  0.750

Computed properties:
Formation enthalpy at 0 K = 0.04 eV/atom
Crystal system = cubic
Fermi-level density of states = 5.32 states/eV per cell

=====

no.,theoretical density (Mg/m³),E above lowest polymorph (meV/atom)
1,6.6,1134
2,9.5,76